Below is a geometry-optimized Pr3NiAg structure, with properties calculated at the PBE level.

abc: 8.9056 8.9056 3.9948
angles: 90.00 90.00 111.27
Sites, in units of the cell vectors:
Pr1 0.1729 0.8271 0.0000
Pr2 0.1857 0.4276 0.4996
Pr3 0.4276 0.1857 0.4996
Pr4 0.5724 0.8143 0.4996
Pr5 0.8143 0.5724 0.4996
Pr6 0.8271 0.1729 0.0000
Ni1 0.0000 0.5000 0.9992
Ni2 0.5000 0.0000 0.9992
Ag1 0.0000 0.0000 0.5001
Ag2 0.5000 0.5000 0.9997

Output
Its energy above the most stable polymorph in this dataset is 86 meV/atom. As for the space group: Cmm2. For the density of states at the Fermi level, the calculation gives 11.01 states/eV per cell. As for the formation enthalpy at 0 K: -0.100 eV/atom. As for the crystal system: orthorhombic. The volume is 29.52 Å³ per atom.

---

Below is a geometry-optimized Tl3Os2PdO9 structure, with properties calculated at the PBE level.

abc: 5.6983 5.6983 7.5972
angles: 90.00 90.00 120.00
Sites, in units of the cell vectors:
Tl1 0.0000 0.0000 0.0000
Tl2 0.3333 0.6667 0.6618
Tl3 0.6667 0.3333 0.3382
Os1 0.3333 0.6667 0.1605
Os2 0.6667 0.3333 0.8395
Pd1 0.0000 0.0000 0.5000
O1 0.0000 0.5000 0.0000
O2 0.1732 0.3465 0.2818
O3 0.1732 0.8268 0.2818
O4 0.3465 0.1732 0.7182
O5 0.5000 0.0000 0.0000
O6 0.5000 0.5000 0.0000
O7 0.6535 0.8268 0.2818
O8 0.8268 0.1732 0.7182
O9 0.8268 0.6535 0.7182

Output
The energy relative to the elements, uncorrected comes out at -0.69 eV per atom. As for the space group: P-3m1. For the density of states at the Fermi level, the calculation gives 6.80 states/eV per cell. As for the crystal system: trigonal. The volume is 14.24 Å³ per atom.